# Th2C3 | Alexandria via LeMat-Bulk | GGA-PBEsol | optimized geometry
# ΔH_f (0 K) ... -7.13 kcal/mol of atoms
# Size of the total moment ... 0.00 μB/atom
# Calculated volume ... 608.7 Å³ per cell
# Energy ... -373.52 eV per cell
data_Th2C3
_chemical_formula_sum 'Th16 C24'
_symmetry_space_group_name_H-M 'I -4 3 d'
_symmetry_Int_Tables_number 220
_symmetry_space_group_name_Hall 'I -4bd 2c 3'
_cell_length_a 8.475
_cell_length_b 8.475
_cell_length_c 8.475
_cell_angle_alpha 90.00
_cell_angle_beta 90.00
_cell_angle_gamma 90.00
loop_
_atom_site_label
_atom_site_fract_x
_atom_site_fract_y
_atom_site_fract_z
_atom_site_occupancy
Th1 0.048 0.048 0.048 1
C1 0.000 0.250 0.292 1



# TiC | Alexandria via LeMat-Bulk | GGA-PBEsol | optimized geometry
# ΔH_f (0 K) ... -20.54 kcal/mol of atoms
# Size of the total moment ... 0.00 μB/atom
# Calculated volume ... 79.4 Å³ per cell
# Energy ... -78.99 eV per cell
data_TiC
_chemical_formula_sum 'Ti4 C4'
_symmetry_space_group_name_H-M 'F m -3 m'
_symmetry_Int_Tables_number 225
_symmetry_space_group_name_Hall '-F 4 2 3'
_cell_length_a 4.297
_cell_length_b 4.297
_cell_length_c 4.297
_cell_angle_alpha 90.00
_cell_angle_beta 90.00
_cell_angle_gamma 90.00
loop_
_atom_site_label
_atom_site_fract_x
_atom_site_fract_y
_atom_site_fract_z
_atom_site_occupancy
Ti1 0.000 0.000 0.000 1
C1 0.000 0.000 0.500 1